1.
This record from Alexandria via LeMat-Bulk describes an optimized crystal structure of Mg2AlAg2. The functional is GGA-PBE.

Output
density: 4.63 g cm⁻³
symmetry: No. 139
formation energy: 166 meV/atom
DOS at the Fermi energy: 4.46 states/eV per cell
excess energy over the best structure of this formula in the dataset: 1.59 eV per formula unit

a = 3.990 Å, b = 3.990 Å, c = 13.136 Å
α = 90.00°, β = 90.00°, γ = 90.00°
Sites, in units of the cell vectors:
Mg 0.000 0.500 0.250
Mg 0.000 0.500 0.750
Mg 0.500 0.000 0.250
Mg 0.500 0.000 0.750
Al 0.000 0.000 0.000
Al 0.500 0.500 0.500
Ag 0.000 0.000 0.398
Ag 0.000 0.000 0.602
Ag 0.500 0.500 0.102
Ag 0.500 0.500 0.898



2.
This record from Alexandria via LeMat-Bulk describes an optimized crystal structure of Tb4Sm5Ho. The functional is GGA-PBE.

Output
density: 7.64 g cm⁻³
symmetry: No. 107
formation energy: 259 meV/atom
DOS at the Fermi energy: 14.26 states/eV per cell
excess energy over the best structure of this formula in the dataset: 2.44 eV per formula unit

a = 8.072 Å, b = 8.072 Å, c = 8.072 Å
α = 97.97°, β = 97.97°, γ = 136.28°
Sites, in units of the cell vectors:
Tb 0.000 0.325 0.325
Tb 0.000 0.675 0.675
Tb 0.325 0.000 0.325
Tb 0.675 0.000 0.675
Sm 0.301 0.301 0.622
Sm 0.301 0.679 0.000
Sm 0.679 0.301 0.000
Sm 0.679 0.679 0.378
Sm 0.758 0.758 0.000
Ho 0.226 0.226 0.000



3.
This record from Alexandria via LeMat-Bulk describes an optimized crystal structure of Co2TeAu2. The functional is GGA-PBE.

Output
density: 11.80 g cm⁻³
symmetry: No. 139
raw formation energy: 0.400 eV per atom
DOS at the Fermi energy: 13.41 states/eV per cell
excess energy over the best structure of this formula in the dataset: 0.65 eV per formula unit

a = 3.827 Å, b = 3.827 Å, c = 12.287 Å
α = 90.00°, β = 90.00°, γ = 90.00°
Sites, in units of the cell vectors:
Co 0.000 0.000 0.091
Co 0.000 0.000 0.909
Co 0.500 0.500 0.409
Co 0.500 0.500 0.591
Te 0.000 0.000 0.500
Te 0.500 0.500 0.000
Au 0.000 0.500 0.250
Au 0.000 0.500 0.750
Au 0.500 0.000 0.250
Au 0.500 0.000 0.750



4.
This record from Alexandria via LeMat-Bulk describes an optimized crystal structure of TmPa2Pt. The functional is GGA-PBE.

Output
density: 14.13 g cm⁻³
symmetry: No. 166
formation energy: 178 meV/atom
DOS at the Fermi energy: 23.43 states/eV per cell

a = 3.148 Å, b = 3.148 Å, c = 33.944 Å
α = 90.00°, β = 90.00°, γ = 120.00°
Sites, in units of the cell vectors:
Tm 0.000 0.000 0.000
Tm 0.333 0.667 0.667
Tm 0.667 0.333 0.333
Pa 0.000 0.000 0.420
Pa 0.000 0.000 0.580
Pa 0.333 0.667 0.087
Pa 0.333 0.667 0.247
Pa 0.667 0.333 0.753
Pa 0.667 0.333 0.913
Pt 0.000 0.000 0.500
Pt 0.333 0.667 0.167
Pt 0.667 0.333 0.833



5.
This record from Alexandria via LeMat-Bulk describes an optimized crystal structure of LiGaI2N. The functional is GGA-PBE.

Output
density: 4.70 g cm⁻³
symmetry: No. 123
raw formation energy: 0.626 eV per atom
DOS at the Fermi energy: 4.25 states/eV per cell
excess energy over the best structure of this formula in the dataset: 2.71 eV per formula unit

a = 5.570 Å, b = 5.570 Å, c = 3.921 Å
α = 90.00°, β = 90.00°, γ = 90.00°
Sites, in units of the cell vectors:
Li 0.000 0.000 0.000
Ga 0.500 0.500 0.500
I 0.000 0.500 0.000
I 0.500 0.000 0.000
N 0.000 0.000 0.500



6.
This record from Alexandria via LeMat-Bulk describes an optimized crystal structure of PmNd8Tm3. The functional is GGA-PBE.

Output
density: 7.32 g cm⁻³
symmetry: No. 1
formation energy: 65 meV/atom
DOS at the Fermi energy: 18.25 states/eV per cell

a = 6.162 Å, b = 8.580 Å, c = 8.981 Å
α = 65.98°, β = 76.54°, γ = 72.12°
Sites, in units of the cell vectors:
Pm 0.000 0.000 0.000
Nd 0.087 0.731 0.410
Nd 0.194 0.219 0.591
Nd 0.313 0.740 0.752
Nd 0.346 0.451 0.174
Nd 0.625 0.752 0.077
Nd 0.635 0.470 0.501
Nd 0.758 0.995 0.651
Nd 0.865 0.478 0.838
Tm 0.432 0.226 0.917
Tm 0.515 0.987 0.333
Tm 0.946 0.219 0.251



7.
This record from Alexandria via LeMat-Bulk describes an optimized crystal structure of BaCu3As. The functional is GGA-PBE.

Output
density: 5.97 g cm⁻³
symmetry: No. 221
formation energy: 67 meV/atom
DOS at the Fermi energy: 3.12 states/eV per cell
excess energy over the best structure of this formula in the dataset: 0.00 eV per formula unit

a = 4.822 Å, b = 4.822 Å, c = 4.822 Å
α = 90.00°, β = 90.00°, γ = 90.00°
Sites, in units of the cell vectors:
Ba 0.000 0.000 0.000
Cu 0.000 0.500 0.500
Cu 0.500 0.000 0.500
Cu 0.500 0.500 0.000
As 0.500 0.500 0.500



8.
This record from Alexandria via LeMat-Bulk describes an optimized crystal structure of InP2Au. The functional is GGA-PBE.

Output
density: 7.62 g cm⁻³
symmetry: No. 8
formation energy: 10 meV/atom
DOS at the Fermi energy: 3.14 states/eV per cell

a = 7.503 Å, b = 3.300 Å, c = 6.915 Å
α = 90.00°, β = 108.00°, γ = 90.00°
Sites, in units of the cell vectors:
In 0.000 0.000 0.000
In 0.500 0.500 0.000
P 0.089 0.500 0.496
P 0.182 0.000 0.720
P 0.589 0.000 0.496
P 0.682 0.500 0.720
Au 0.290 0.500 0.272
Au 0.790 0.000 0.272